--- one ---
Here is Er2SN after structural relaxation from Alexandria via LeMat-Bulk. Energies are from GGA-PBE.

Lattice parameters (Å, degrees): 3.5787 3.5787 6.5312 74.10 74.10 60.00
Atoms (fractional coordinates):
Er: 0.7639 0.7639 0.7082
N: 0.5000 0.5000 0.5000
Er: 0.2361 0.2361 0.2918
S: 0.0000 0.0000 0.0000

Calculated values
crystal system	trigonal

--- two ---
Here is Er2SN after structural relaxation from Alexandria via LeMat-Bulk. Energies are from GGA-PBE.

Lattice parameters (Å, degrees): 3.8213 5.6580 8.1803 90.00 90.00 90.00
Last column: magnetic moment on the atom in μB.
Atoms (fractional coordinates):
Er: 0.2010 0.1563 0.0186  0.11
Er: 0.7010 0.6563 0.1973  0.11
Er: 0.2010 0.0396 0.4589  0.23
N: 0.7010 0.3723 0.0005  -0.01
S: 0.7010 0.3652 0.4529  0.00
N: 0.2010 0.8723 0.2154  -0.01
Er: 0.7010 0.5396 0.7571  0.23
S: 0.2010 0.8652 0.7631  0.00

Calculated values
crystal system	orthorhombic

--- three ---
Here is Er2SN after structural relaxation from Alexandria via LeMat-Bulk. Energies are from GGA-PBE.

Lattice parameters (Å, degrees): 3.5519 3.5519 6.6774 74.58 74.58 60.00
Atoms (fractional coordinates):
N: 0.6698 0.6698 0.9905
Er: 0.2638 0.2638 0.2085
S: 0.4990 0.4990 0.5031
Er: 0.0673 0.0673 0.7980

Calculated values
crystal system	trigonal

So which one is most stable? That would be one, about 0.055 eV/atom below the next structure.